w) # PBE RbLi3La, optimized geometry
# size of the total moment: 0.00 μB/atom
# space group: Pm-3m (221)
data_RbLi3La
_cell_length_a 5.4874
_cell_length_b 5.4874
_cell_length_c 5.4874
_cell_angle_alpha 90.00
_cell_angle_beta 90.00
_cell_angle_gamma 90.00
_space_group_name_H-M_alt 'P 1'
_space_group_IT_number 1
loop_
_space_group_symop_operation_xyz
'x,y,z'
loop_
_atom_site_label
_atom_site_fract_x
_atom_site_fract_y
_atom_site_fract_z
Rb1 0.0000 0.0000 0.0000
Li1 0.0000 0.0000 0.5000
Li2 0.0000 0.5000 0.0000
Li3 0.5000 0.0000 0.0000
La1 0.5000 0.5000 0.5000

x) # PBE RbLi3La, optimized geometry
# size of the total moment: 0.54 μB/atom
# space group: Pm-3m (221)
data_RbLi3La
_cell_length_a 6.2630
_cell_length_b 6.2630
_cell_length_c 6.2630
_cell_angle_alpha 90.00
_cell_angle_beta 90.00
_cell_angle_gamma 90.00
_space_group_name_H-M_alt 'P 1'
_space_group_IT_number 1
loop_
_space_group_symop_operation_xyz
'x,y,z'
loop_
_atom_site_label
_atom_site_fract_x
_atom_site_fract_y
_atom_site_fract_z
Rb1 0.0000 0.0000 0.0000
Li1 0.0000 0.5000 0.5000
Li2 0.5000 0.0000 0.5000
Li3 0.5000 0.5000 0.0000
La1 0.5000 0.5000 0.5000

Which structure is the most stable? The one labeled w).

w) # PBE RbLiLa3, optimized geometry
# size of the total moment: 0.00 μB/atom
# space group: Pm-3m (221)
data_RbLiLa3
_cell_length_a 5.8705
_cell_length_b 5.8705
_cell_length_c 5.8705
_cell_angle_alpha 90.00
_cell_angle_beta 90.00
_cell_angle_gamma 90.00
_space_group_name_H-M_alt 'P 1'
_space_group_IT_number 1
loop_
_space_group_symop_operation_xyz
'x,y,z'
loop_
_atom_site_label
_atom_site_fract_x
_atom_site_fract_y
_atom_site_fract_z
Rb1 0.0000 0.0000 0.0000
Li1 0.5000 0.5000 0.5000
La1 0.0000 0.0000 0.5000
La2 0.0000 0.5000 0.0000
La3 0.5000 0.0000 0.0000

x) # PBE RbLiLa3, optimized geometry
# size of the total moment: 0.00 μB/atom
# space group: Pm-3m (221)
data_RbLiLa3
_cell_length_a 5.9088
_cell_length_b 5.9088
_cell_length_c 5.9088
_cell_angle_alpha 90.00
_cell_angle_beta 90.00
_cell_angle_gamma 90.00
_space_group_name_H-M_alt 'P 1'
_space_group_IT_number 1
loop_
_space_group_symop_operation_xyz
'x,y,z'
loop_
_atom_site_label
_atom_site_fract_x
_atom_site_fract_y
_atom_site_fract_z
Rb1 0.0000 0.0000 0.0000
Li1 0.5000 0.5000 0.5000
La1 0.0000 0.5000 0.5000
La2 0.5000 0.0000 0.5000
La3 0.5000 0.5000 0.0000

Which structure is the most stable? The one labeled x).

w) # PBE Li2La2Re, optimized geometry
# size of the total moment: 0.00 μB/atom
# space group: I4/mmm (139)
data_Li2La2Re
_cell_length_a 5.5067
_cell_length_b 5.5067
_cell_length_c 7.4196
_cell_angle_alpha 90.00
_cell_angle_beta 90.00
_cell_angle_gamma 90.00
_space_group_name_H-M_alt 'P 1'
_space_group_IT_number 1
loop_
_space_group_symop_operation_xyz
'x,y,z'
loop_
_atom_site_label
_atom_site_fract_x
_atom_site_fract_y
_atom_site_fract_z
Li1 0.0000 0.0000 0.1413
Li2 0.0000 0.0000 0.8587
Li3 0.5000 0.5000 0.3587
Li4 0.5000 0.5000 0.6413
La1 0.0000 0.5000 0.2500
La2 0.0000 0.5000 0.7500
La3 0.5000 0.0000 0.2500
La4 0.5000 0.0000 0.7500
Re1 0.0000 0.0000 0.5000
Re2 0.5000 0.5000 0.0000

x) # PBE Li2La2Re, optimized geometry
# size of the total moment: 0.00 μB/atom
# space group: P4/mbm (127)
data_Li2La2Re
_cell_length_a 7.0515
_cell_length_b 7.0515
_cell_length_c 4.4476
_cell_angle_alpha 90.00
_cell_angle_beta 90.00
_cell_angle_gamma 90.00
_space_group_name_H-M_alt 'P 1'
_space_group_IT_number 1
loop_
_space_group_symop_operation_xyz
'x,y,z'
loop_
_atom_site_label
_atom_site_fract_x
_atom_site_fract_y
_atom_site_fract_z
Li1 0.1188 0.3812 0.0000
Li2 0.3812 0.8812 0.0000
Li3 0.6188 0.1188 0.0000
Li4 0.8812 0.6188 0.0000
La1 0.2090 0.7090 0.5000
La2 0.2910 0.2090 0.5000
La3 0.7090 0.7910 0.5000
La4 0.7910 0.2910 0.5000
Re1 0.0000 0.0000 0.0000
Re2 0.5000 0.5000 0.0000

Which structure is the most stable? The one labeled x).

w) # PBE Li3LaRe, optimized geometry
# size of the total moment: 0.22 μB/atom
# space group: Pm-3m (221)
data_Li3LaRe
_cell_length_a 4.6054
_cell_length_b 4.6054
_cell_length_c 4.6054
_cell_angle_alpha 90.00
_cell_angle_beta 90.00
_cell_angle_gamma 90.00
_space_group_name_H-M_alt 'P 1'
_space_group_IT_number 1
loop_
_space_group_symop_operation_xyz
'x,y,z'
loop_
_atom_site_label
_atom_site_fract_x
_atom_site_fract_y
_atom_site_fract_z
Li1 0.0000 0.0000 0.5000
Li2 0.0000 0.5000 0.0000
Li3 0.5000 0.0000 0.0000
La1 0.0000 0.0000 0.0000
Re1 0.5000 0.5000 0.5000

x) # PBE Li3LaRe, optimized geometry
# size of the total moment: 0.21 μB/atom
# space group: Pm-3m (221)
data_Li3LaRe
_cell_length_a 4.8128
_cell_length_b 4.8128
_cell_length_c 4.8128
_cell_angle_alpha 90.00
_cell_angle_beta 90.00
_cell_angle_gamma 90.00
_space_group_name_H-M_alt 'P 1'
_space_group_IT_number 1
loop_
_space_group_symop_operation_xyz
'x,y,z'
loop_
_atom_site_label
_atom_site_fract_x
_atom_site_fract_y
_atom_site_fract_z
Li1 0.0000 0.0000 0.5000
Li2 0.0000 0.5000 0.0000
Li3 0.5000 0.0000 0.0000
La1 0.5000 0.5000 0.5000
Re1 0.0000 0.0000 0.0000

Which structure is the most stable? The one labeled x).

w) # PBE Li2LaRh, optimized geometry
# size of the total moment: 0.00 μB/atom
# space group: Fm-3m (225)
data_Li2LaRh
_cell_length_a 6.6015
_cell_length_b 6.6015
_cell_length_c 6.6015
_cell_angle_alpha 90.00
_cell_angle_beta 90.00
_cell_angle_gamma 90.00
_space_group_name_H-M_alt 'P 1'
_space_group_IT_number 1
loop_
_space_group_symop_operation_xyz
'x,y,z'
loop_
_atom_site_label
_atom_site_fract_x
_atom_site_fract_y
_atom_site_fract_z
Li1 0.2500 0.2500 0.2500
Li2 0.2500 0.2500 0.7500
Li3 0.2500 0.7500 0.2500
Li4 0.2500 0.7500 0.7500
Li5 0.7500 0.2500 0.2500
Li6 0.7500 0.2500 0.7500
Li7 0.7500 0.7500 0.2500
Li8 0.7500 0.7500 0.7500
La1 0.0000 0.0000 0.0000
La2 0.0000 0.5000 0.5000
La3 0.5000 0.0000 0.5000
La4 0.5000 0.5000 0.0000
Rh1 0.0000 0.0000 0.5000
Rh2 0.0000 0.5000 0.0000
Rh3 0.5000 0.0000 0.0000
Rh4 0.5000 0.5000 0.5000

x) # PBE Li2LaRh, optimized geometry
# size of the total moment: 0.03 μB/atom
# space group: Cmmm (65)
data_Li2LaRh
_cell_length_a 3.2415
_cell_length_b 4.9627
_cell_length_c 9.8480
_cell_angle_alpha 90.00
_cell_angle_beta 90.00
_cell_angle_gamma 90.00
_space_group_name_H-M_alt 'P 1'
_space_group_IT_number 1
loop_
_space_group_symop_operation_xyz
'x,y,z'
loop_
_atom_site_label
_atom_site_fract_x
_atom_site_fract_y
_atom_site_fract_z
Li1 0.0000 0.0000 0.1905
Li2 0.0000 0.0000 0.8095
Li3 0.5000 0.5000 0.1905
Li4 0.5000 0.5000 0.8095
La1 0.0000 0.5000 0.5000
La2 0.5000 0.0000 0.5000
Rh1 0.0000 0.5000 0.0000
Rh2 0.5000 0.0000 0.0000

y) # PBE Li2LaRh, optimized geometry
# size of the total moment: 0.00 μB/atom
# space group: Cmmm (65)
data_Li2LaRh
_cell_length_a 5.3800
_cell_length_b 8.6339
_cell_length_c 3.2949
_cell_angle_alpha 90.00
_cell_angle_beta 90.00
_cell_angle_gamma 90.00
_space_group_name_H-M_alt 'P 1'
_space_group_IT_number 1
loop_
_space_group_symop_operation_xyz
'x,y,z'
loop_
_atom_site_label
_atom_site_fract_x
_atom_site_fract_y
_atom_site_fract_z
Li1 0.2500 0.2500 0.0000
Li2 0.2500 0.7500 0.0000
Li3 0.7500 0.2500 0.0000
Li4 0.7500 0.7500 0.0000
La1 0.0000 0.0000 0.5000
La2 0.5000 0.5000 0.5000
Rh1 0.0000 0.5000 0.5000
Rh2 0.5000 0.0000 0.5000

Which structure is the most stable? The one labeled w).

w) # PBE Li2LaRh, optimized geometry
# size of the total moment: 0.00 μB/atom
# space group: Immm (71)
data_Li2LaRh
_cell_length_a 4.0217
_cell_length_b 4.0445
_cell_length_c 9.4988
_cell_angle_alpha 90.00
_cell_angle_beta 90.00
_cell_angle_gamma 90.00
_space_group_name_H-M_alt 'P 1'
_space_group_IT_number 1
loop_
_space_group_symop_operation_xyz
'x,y,z'
loop_
_atom_site_label
_atom_site_fract_x
_atom_site_fract_y
_atom_site_fract_z
Li1 0.0000 0.0000 0.2492
Li2 0.0000 0.0000 0.7508
Li3 0.5000 0.5000 0.2508
Li4 0.5000 0.5000 0.7492
La1 0.0000 0.5000 0.0000
La2 0.5000 0.0000 0.5000
Rh1 0.0000 0.5000 0.5000
Rh2 0.5000 0.0000 0.0000

x) # PBE Li2LaRh, optimized geometry
# size of the total moment: 0.00 μB/atom
# space group: P2/m (10)
data_Li2LaRh
_cell_length_a 4.0039
_cell_length_b 4.0104
_cell_length_c 5.1703
_cell_angle_alpha 90.00
_cell_angle_beta 90.25
_cell_angle_gamma 90.00
_space_group_name_H-M_alt 'P 1'
_space_group_IT_number 1
loop_
_space_group_symop_operation_xyz
'x,y,z'
loop_
_atom_site_label
_atom_site_fract_x
_atom_site_fract_y
_atom_site_fract_z
Li1 0.0000 0.0000 0.0000
Li2 0.5000 0.5000 0.0000
La1 0.0000 0.5000 0.5000
Rh1 0.5000 0.0000 0.5000

y) # PBE Li2LaRh, optimized geometry
# size of the total moment: 0.00 μB/atom
# space group: Imm2 (44)
data_Li2LaRh
_cell_length_a 4.5516
_cell_length_b 5.1489
_cell_length_c 6.9381
_cell_angle_alpha 90.00
_cell_angle_beta 90.00
_cell_angle_gamma 90.00
_space_group_name_H-M_alt 'P 1'
_space_group_IT_number 1
loop_
_space_group_symop_operation_xyz
'x,y,z'
loop_
_atom_site_label
_atom_site_fract_x
_atom_site_fract_y
_atom_site_fract_z
Li1 0.0000 0.0000 0.0000
Li2 0.0000 0.5000 0.2712
Li3 0.5000 0.0000 0.7712
Li4 0.5000 0.5000 0.5000
La1 0.0000 0.0000 0.4757
La2 0.5000 0.5000 0.9757
Rh1 0.0000 0.5000 0.7165
Rh2 0.5000 0.0000 0.2165

z) # PBE Li2LaRh, optimized geometry
# size of the total moment: 0.00 μB/atom
# space group: Cm (8)
data_Li2LaRh
_cell_length_a 7.3262
_cell_length_b 4.2416
_cell_length_c 5.9434
_cell_angle_alpha 90.00
_cell_angle_beta 114.37
_cell_angle_gamma 90.00
_space_group_name_H-M_alt 'P 1'
_space_group_IT_number 1
loop_
_space_group_symop_operation_xyz
'x,y,z'
loop_
_atom_site_label
_atom_site_fract_x
_atom_site_fract_y
_atom_site_fract_z
Li1 0.0000 0.0000 0.0000
Li2 0.2099 0.5000 0.1304
Li3 0.5000 0.5000 0.0000
Li4 0.7099 0.0000 0.1304
La1 0.0219 0.5000 0.5687
La2 0.5219 0.0000 0.5687
Rh1 0.2867 0.0000 0.8598
Rh2 0.7867 0.5000 0.8598

Which structure is the most stable? The one labeled w).